LiZrAgTe2Se: relaxed, PBE.

M_tot: 0.01 μB per formula unit
Calculated density: 5.963 g cm⁻³
Crystal system: orthorhombic
Space group: No. 63
Total DFT energy (no corrections): -4.543 eV per atom

Unit cell a=7.350 b=7.350 c=10.590 alpha=90.00 beta=90.00 gamma=148.28
Atoms (fractional coordinates):
Ag  0.969  0.031  0.250
Ag  0.031  0.969  0.750
Li  0.242  0.758  0.250
Li  0.758  0.242  0.750
Se  0.589  0.411  0.250
Se  0.411  0.589  0.750
Te  0.852  0.148  0.047
Te  0.852  0.148  0.453
Te  0.148  0.852  0.547
Te  0.148  0.852  0.953
Zr  0.500  0.500  0.000
Zr  0.500  0.500  0.500